First-principles (PBE) data for crystalline Y3Np2Ru6 at its relaxed geometry, as listed in the Alexandria database.

POSCAR file:
```
Y3Np2Ru6
1.0
-4.766 4.766 4.766
4.766 -4.766 4.766
4.766 4.766 -4.766
Y Np Ru
6 4 12
direct
0.000 0.286 0.286 Y
0.000 0.714 0.714 Y
0.286 0.000 0.286 Y
0.286 0.286 0.000 Y
0.714 0.000 0.714 Y
0.714 0.714 0.000 Y
0.000 0.000 0.500 Np
0.000 0.500 0.000 Np
0.500 0.000 0.000 Np
0.500 0.500 0.500 Np
0.000 0.347 0.653 Ru
0.000 0.653 0.347 Ru
0.306 0.653 0.653 Ru
0.347 0.000 0.653 Ru
0.347 0.347 0.694 Ru
0.347 0.653 0.000 Ru
0.347 0.694 0.347 Ru
0.653 0.000 0.347 Ru
0.653 0.306 0.653 Ru
0.653 0.347 0.000 Ru
0.653 0.653 0.306 Ru
0.694 0.347 0.347 Ru
```

Computed properties:
The calculation puts the density of states at the Fermi level at 1.49 states/eV per atom. As for the total magnetization: 4.01 μB/f.u. The calculation puts the energy of formation at -0.215 eV per atom. The calculation puts the volume at 432.9 Å³ per cell.